Record 1
VASP calculation (PBE) on a geometry-optimized SmThIrPt structure.

Cell lengths 4.315, 5.945, 5.945 Å; angles 38.20, 90.00, 90.00 degrees
Sites, in units of the cell vectors:
Sm1 0.000 0.000 0.000
Th1 0.500 0.724 0.724
Ir1 0.000 0.262 0.262
Pt1 0.500 0.449 0.449

Properties
As for the size of the total moment: 0.000 μB/atom. The calculation puts the energy above the most stable polymorph in this dataset at 0 meV/atom. As for the calculated volume: 23.578 A^3/atom. The calculation puts the formation energy at -1.08 eV per atom. The calculation puts the total energy at -7.840 eV/atom.



Record 2
VASP calculation (PBE) on a geometry-optimized SmThIrPt structure.

Cell lengths 5.052, 5.052, 5.052 Å; angles 60.00, 60.00, 60.00 degrees
Sites, in units of the cell vectors:
Sm1 0.000 0.000 0.000
Th1 0.500 0.500 0.500
Ir1 0.250 0.250 0.250
Pt1 0.750 0.750 0.750

Properties
As for the size of the total moment: 0.000 μB/atom. The calculation puts the energy above the most stable polymorph in this dataset at 201 meV/atom. As for the calculated volume: 22.788 A^3/atom. The calculation puts the formation energy at -0.88 eV per atom. The calculation puts the total energy at -7.640 eV/atom.



Record 3
VASP calculation (PBE) on a geometry-optimized SmZrIrPt structure.

Cell lengths 4.852, 4.852, 4.852 Å; angles 60.00, 60.00, 60.00 degrees
Sites, in units of the cell vectors:
Sm1 0.000 0.000 0.000
Zr1 0.500 0.500 0.500
Ir1 0.750 0.750 0.750
Pt1 0.250 0.250 0.250

Properties
As for the size of the total moment: 0.000 μB/atom. As for the calculated volume: 20.189 A^3/atom. The calculation puts the formation energy at -0.77 eV per atom. The calculation puts the total energy at -7.812 eV/atom.



Record 4
VASP calculation (PBE) on a geometry-optimized Sn6Ir2Pt structure.

Cell lengths 6.546, 6.546, 5.918 Å; angles 90.00, 90.00, 120.00 degrees
Sites, in units of the cell vectors:
Sn1 0.000 0.359 0.278
Sn2 0.000 0.641 0.722
Sn3 0.359 0.000 0.278
Sn4 0.359 0.359 0.722
Sn5 0.641 0.000 0.722
Sn6 0.641 0.641 0.278
Ir1 0.333 0.667 0.000
Ir2 0.667 0.333 0.000
Pt1 0.000 0.000 0.500

Properties
As for the size of the total moment: 0.000 μB/atom. As for the calculated volume: 24.399 A^3/atom. The calculation puts the formation energy at -0.19 eV per atom. The calculation puts the total energy at -5.501 eV/atom.



Record 5
VASP calculation (PBE) on a geometry-optimized Sn4IrPt2 structure.

Cell lengths 7.448, 7.448, 7.448 Å; angles 139.20, 139.20, 59.07 degrees
Sites, in units of the cell vectors:
Sn1 0.000 0.500 0.500
Sn2 0.200 0.200 0.000
Sn3 0.500 0.000 0.500
Sn4 0.800 0.800 0.000
Ir1 0.000 0.000 0.000
Pt1 0.397 0.397 0.000
Pt2 0.603 0.603 0.000

Properties
As for the size of the total moment: 0.000 μB/atom. As for the calculated volume: 24.957 A^3/atom. The calculation puts the formation energy at -0.02 eV per atom. The calculation puts the total energy at -5.296 eV/atom.



Record 6
VASP calculation (PBE) on a geometry-optimized Sn2Ir2Pt structure.

Cell lengths 7.615, 7.615, 3.063 Å; angles 90.00, 90.00, 90.00 degrees
Sites, in units of the cell vectors:
Sn1 0.162 0.338 0.000
Sn2 0.338 0.838 0.000
Sn3 0.662 0.162 0.000
Sn4 0.838 0.662 0.000
Ir1 0.138 0.638 0.500
Ir2 0.362 0.138 0.500
Ir3 0.638 0.862 0.500
Ir4 0.862 0.362 0.500
Pt1 0.000 0.000 0.500
Pt2 0.500 0.500 0.500

Properties
As for the size of the total moment: 0.000 μB/atom. As for the calculated volume: 17.759 A^3/atom. The calculation puts the formation energy at -0.06 eV per atom. The calculation puts the total energy at -6.416 eV/atom.



Record 7
VASP calculation (PBE) on a geometry-optimized SnIr2Pt structure.

Cell lengths 4.041, 4.041, 3.935 Å; angles 90.00, 90.00, 90.00 degrees
Sites, in units of the cell vectors:
Sn1 0.000 0.000 0.000
Ir1 0.000 0.500 0.500
Ir2 0.500 0.000 0.500
Pt1 0.500 0.500 0.000

Properties
As for the size of the total moment: 0.000 μB/atom. As for the calculated volume: 16.063 A^3/atom. The calculation puts the formation energy at -0.09 eV per atom. The calculation puts the total energy at -7.035 eV/atom.



Record 8
VASP calculation (PBE) on a geometry-optimized SnIrPt3 structure.

Cell lengths 4.876, 4.876, 4.876 Å; angles 90.00, 90.00, 90.00 degrees
Sites, in units of the cell vectors:
Sn1 0.000 0.000 0.000
Ir1 0.500 0.500 0.500
Pt1 0.000 0.500 0.500
Pt2 0.500 0.000 0.500
Pt3 0.500 0.500 0.000

Properties
As for the size of the total moment: 0.005 μB/atom. The calculation puts the energy above the most stable polymorph in this dataset at 0 meV/atom. As for the calculated volume: 23.187 A^3/atom. The calculation puts the formation energy at 0.97 eV per atom. The calculation puts the total energy at -5.231 eV/atom.



Record 9
VASP calculation (PBE) on a geometry-optimized Sn8Ir2Pt structure.

Cell lengths 5.090, 8.355, 8.358 Å; angles 60.02, 89.94, 90.00 degrees
Sites, in units of the cell vectors:
Sn1 0.205 0.309 0.345
Sn2 0.205 0.845 0.346
Sn3 0.205 0.846 0.809
Sn4 0.238 0.333 0.833
Sn5 0.762 0.667 0.167
Sn6 0.795 0.154 0.191
Sn7 0.795 0.155 0.654
Sn8 0.795 0.691 0.655
Ir1 0.269 0.667 0.167
Ir2 0.731 0.333 0.833
Pt1 0.500 0.000 0.500

Properties
As for the size of the total moment: 0.000 μB/atom. As for the calculated volume: 27.989 A^3/atom. The calculation puts the formation energy at -0.03 eV per atom. The calculation puts the total energy at -5.102 eV/atom.



Record 10
VASP calculation (PBE) on a geometry-optimized Sn3IrPt structure.

Cell lengths 5.059, 5.059, 5.059 Å; angles 90.00, 90.00, 90.00 degrees
Sites, in units of the cell vectors:
Sn1 0.000 0.000 0.500
Sn2 0.000 0.500 0.000
Sn3 0.500 0.000 0.000
Ir1 0.000 0.000 0.000
Pt1 0.500 0.500 0.500

Properties
As for the size of the total moment: 0.000 μB/atom. The calculation puts the energy above the most stable polymorph in this dataset at 0 meV/atom. As for the calculated volume: 25.901 A^3/atom. The calculation puts the formation energy at 0.31 eV per atom. The calculation puts the total energy at -5.068 eV/atom.



Record 11
VASP calculation (PBE) on a geometry-optimized SnIr2Pt structure.

Cell lengths 9.785, 9.785, 9.785 Å; angles 156.85, 156.85, 32.97 degrees
Sites, in units of the cell vectors:
Sn1 0.000 0.000 0.000
Sn2 0.750 0.250 0.500
Ir1 0.167 0.625 0.042
Ir2 0.375 0.417 0.542
Ir3 0.583 0.125 0.958
Ir4 0.875 0.833 0.458
Pt1 0.250 0.750 0.500
Pt2 0.500 0.500 0.000

Properties
As for the size of the total moment: 0.000 μB/atom. As for the calculated volume: 18.081 A^3/atom. The calculation puts the formation energy at 0.27 eV per atom. The calculation puts the total energy at -6.668 eV/atom.



Record 12
VASP calculation (PBE) on a geometry-optimized SnIr3Pt structure.

Cell lengths 4.830, 4.830, 4.830 Å; angles 90.00, 90.00, 90.00 degrees
Sites, in units of the cell vectors:
Sn1 0.000 0.000 0.000
Ir1 0.000 0.500 0.500
Ir2 0.500 0.000 0.500
Ir3 0.500 0.500 0.000
Pt1 0.500 0.500 0.500

Properties
As for the size of the total moment: 0.527 μB/atom. The calculation puts the energy above the most stable polymorph in this dataset at 0 meV/atom. As for the calculated volume: 22.534 A^3/atom. The calculation puts the formation energy at 1.67 eV per atom. The calculation puts the total energy at -5.651 eV/atom.



Record 13
VASP calculation (PBE) on a geometry-optimized Sn4IrPt2 structure.

Cell lengths 6.866, 6.866, 6.672 Å; angles 118.13, 118.13, 34.16 degrees
Sites, in units of the cell vectors:
Sn1 0.109 0.109 0.469
Sn2 0.376 0.376 0.047
Sn3 0.624 0.624 0.953
Sn4 0.891 0.891 0.531
Ir1 0.000 0.000 0.000
Pt1 0.250 0.250 0.262
Pt2 0.750 0.750 0.738

Properties
As for the size of the total moment: 0.000 μB/atom. As for the calculated volume: 21.946 A^3/atom. The calculation puts the formation energy at -0.40 eV per atom. The calculation puts the total energy at -5.676 eV/atom.



Record 14
VASP calculation (PBE) on a geometry-optimized Sr2Sn4IrPt3 structure.

Cell lengths 4.545, 4.545, 11.253 Å; angles 90.00, 90.00, 90.00 degrees
Sites, in units of the cell vectors:
Sr1 0.000 0.500 0.247
Sr2 0.500 0.000 0.753
Sn1 0.000 0.000 0.500
Sn2 0.000 0.500 0.872
Sn3 0.500 0.000 0.128
Sn4 0.500 0.500 0.500
Ir1 0.500 0.500 0.000
Pt1 0.000 0.000 0.000
Pt2 0.000 0.500 0.634
Pt3 0.500 0.000 0.366

Properties
As for the size of the total moment: 0.000 μB/atom. As for the calculated volume: 23.241 A^3/atom. The calculation puts the formation energy at -0.71 eV per atom. The calculation puts the total energy at -5.343 eV/atom.



Record 15
VASP calculation (PBE) on a geometry-optimized Sr2SnIrPt structure.

Cell lengths 5.652, 5.652, 4.972 Å; angles 90.00, 90.00, 90.00 degrees
Sites, in units of the cell vectors:
Sr1 0.000 0.500 0.000
Sr2 0.500 0.000 0.000
Sn1 0.000 0.000 0.500
Ir1 0.500 0.500 0.500
Pt1 0.000 0.000 0.000

Properties
As for the size of the total moment: 0.001 μB/atom. As for the calculated volume: 31.761 A^3/atom. The calculation puts the formation energy at 0.13 eV per atom. The calculation puts the total energy at -4.326 eV/atom.



Record 16
VASP calculation (PBE) on a geometry-optimized TmSnIrPt structure.

Cell lengths 4.736, 4.736, 4.736 Å; angles 60.00, 60.00, 60.00 degrees
Sites, in units of the cell vectors:
Tm1 0.000 0.000 0.000
Sn1 0.500 0.500 0.500
Ir1 0.750 0.750 0.750
Pt1 0.250 0.250 0.250

Properties
As for the size of the total moment: 0.000 μB/atom. As for the calculated volume: 18.776 A^3/atom. The calculation puts the formation energy at -0.70 eV per atom. The calculation puts the total energy at -6.542 eV/atom.



Record 17
VASP calculation (PBE) on a geometry-optimized SnIr2PtW structure.

Cell lengths 4.757, 4.757, 4.777 Å; angles 90.00, 90.00, 90.00 degrees
Sites, in units of the cell vectors:
Sn1 0.000 0.000 0.000
Ir1 0.000 0.500 0.000
Ir2 0.500 0.000 0.000
Pt1 0.000 0.000 0.500
W1 0.500 0.500 0.500

Properties
As for the size of the total moment: 0.000 μB/atom. As for the calculated volume: 21.616 A^3/atom. The calculation puts the formation energy at 2.17 eV per atom. The calculation puts the total energy at -5.970 eV/atom.



Record 18
VASP calculation (PBE) on a geometry-optimized SrIr2Pt structure.

Cell lengths 4.962, 4.962, 5.645 Å; angles 98.85, 98.85, 33.76 degrees
Sites, in units of the cell vectors:
Sr1 0.000 0.000 0.000
Ir1 0.239 0.239 0.684
Ir2 0.761 0.761 0.316
Pt1 0.500 0.500 0.500

Properties
As for the size of the total moment: 0.000 μB/atom. The calculation puts the energy above the most stable polymorph in this dataset at 96 meV/atom. As for the calculated volume: 19.060 A^3/atom. The calculation puts the formation energy at 0.14 eV per atom. The calculation puts the total energy at -6.220 eV/atom.



Record 19
VASP calculation (PBE) on a geometry-optimized SrIr2Pt structure.

Cell lengths 2.865, 4.960, 5.054 Å; angles 90.00, 90.00, 90.00 degrees
Sites, in units of the cell vectors:
Sr1 0.000 0.000 0.000
Ir1 0.000 0.500 0.500
Ir2 0.500 0.000 0.500
Pt1 0.500 0.500 0.000

Properties
As for the size of the total moment: 0.000 μB/atom. The calculation puts the energy above the most stable polymorph in this dataset at 201 meV/atom. As for the calculated volume: 17.955 A^3/atom. The calculation puts the formation energy at 0.25 eV per atom. The calculation puts the total energy at -6.115 eV/atom.



Record 20
VASP calculation (PBE) on a geometry-optimized SrIrPt4 structure.

Cell lengths 5.380, 5.380, 5.380 Å; angles 60.00, 60.00, 60.00 degrees
Sites, in units of the cell vectors:
Sr1 0.000 0.000 0.000
Ir1 0.750 0.750 0.750
Pt1 0.376 0.376 0.376
Pt2 0.376 0.376 0.873
Pt3 0.376 0.873 0.376
Pt4 0.873 0.376 0.376

Properties
As for the size of the total moment: 0.224 μB/atom. As for the calculated volume: 18.357 A^3/atom. The calculation puts the formation energy at -0.05 eV per atom. The calculation puts the total energy at -5.831 eV/atom.